Arrangement i

VASP calculation (PBE) on a relaxed Si2Ag2Sn crystal.

abc: 4.2097 4.2097 6.2882
angles: 70.44 70.44 90.00
Sites, in units of the cell vectors:
Ag (0.2500, 0.7500, 0.5000)
Si (0.3950, 0.3950, 0.2101)
Ag (0.7500, 0.2500, 0.5000)
Sn (0.0000, 0.0000, 0.0000)
Si (0.6050, 0.6050, 0.7899)

space-group type	No. 139
DOS(E_F)	0.365	states/eV/atom

Arrangement ii

VASP calculation (PBE) on a relaxed Si2Ag2Sn crystal.

abc: 3.4584 3.4584 8.6049
angles: 78.41 78.41 90.00
Sites, in units of the cell vectors:
Ag (0.3868, 0.3868, 0.2265)
Si (0.2500, 0.7500, 0.5000)
Sn (0.0000, 0.0000, 0.0000)
Si (0.7500, 0.2500, 0.5000)
Ag (0.6132, 0.6132, 0.7735)

space-group type	No. 139
DOS(E_F)	0.355	states/eV/atom

Here is how they stack up, most stable first: arrangement i, arrangement ii.